Entry 1:
A relaxed K2Au crystal. Source: Alexandria via LeMat-Bulk, functional GGA-PBEsol.

Cell lengths 6.6237, 6.6237, 8.8778 Å; angles 119.10, 119.10, 43.21 degrees
With the nearest neighbours (Å) after each atom.
Fractional coordinates of all 6 atoms:
K 0.0903 0.0903 0.3759  5 Au 3.38-3.78
K 0.3123 0.3123 0.9084  3 Au 3.34-3.48, 2 K 3.68
K 0.6877 0.6877 0.0916  3 Au 3.34-3.48, 2 K 3.68
K 0.9097 0.9097 0.6241  5 Au 3.38-3.78
Au 0.3839 0.3839 0.3432  1 Au 2.76
Au 0.6161 0.6161 0.6568  1 Au 2.76

As for the uncorrected energy: -13.191 eV/cell. The volume comes out at 37.9 Å³/atom. As for the space-group type: C2/m. The density of states at the Fermi level is 2.1 states/eV/cell. As for the calculated formation energy: -13.0 kJ/mol of atoms.

=====

Entry 2:
A relaxed Sc3InP crystal. Source: Alexandria via LeMat-Bulk, functional GGA-PBEsol.

Cell lengths 4.8309, 4.8309, 4.8309 Å; angles 90.00, 90.00, 90.00 degrees
With the nearest neighbours (Å) after each atom.
Fractional coordinates of all 5 atoms:
Sc 0.0000 0.0000 0.5000  2 P 2.42
Sc 0.0000 0.5000 0.0000  2 P 2.42
Sc 0.5000 0.0000 0.0000  2 P 2.42
In 0.5000 0.5000 0.5000  12 Sc 3.42
P 0.0000 0.0000 0.0000  6 Sc 2.42

As for the uncorrected energy: -32.455 eV/cell. The volume comes out at 22.5 Å³/atom. As for the space-group type: Pm-3m. The density of states at the Fermi level is 2.2 states/eV/cell. As for the calculated formation energy: -74.6 kJ/mol of atoms.

=====

Entry 3:
A relaxed SrScPb2 crystal. Source: Alexandria via LeMat-Bulk, functional GGA-PBEsol.

Cell lengths 4.2168, 4.2168, 6.8329 Å; angles 90.00, 90.00, 90.00 degrees
With the nearest neighbours (Å) after each atom.
Fractional coordinates of all 4 atoms:
Sr 0.0000 0.0000 0.0000  5 Pb 3.20-3.39
Sc 0.5000 0.5000 0.6520  5 Pb 2.85-3.09
Pb 0.0000 0.0000 0.5310  4 Sc 3.09, 1 Sr 3.20
Pb 0.5000 0.5000 0.2354  1 Sc 2.85

As for the uncorrected energy: -17.050 eV/cell. The volume comes out at 30.4 Å³/atom. As for the space-group type: P4mm. The density of states at the Fermi level is 3.2 states/eV/cell. As for the calculated formation energy: -14.6 kJ/mol of atoms.

=====

Entry 4:
A relaxed YBRh2N crystal. Source: Alexandria via LeMat-Bulk, functional GGA-PBEsol.

Cell lengths 4.8317, 4.8317, 4.6573 Å; angles 90.00, 90.00, 90.00 degrees
With the nearest neighbours (Å) after each atom.
Fractional coordinates of all 5 atoms:
Y 0.0000 0.0000 0.0000  2 B 2.33, 4 Rh 2.42
B 0.0000 0.0000 0.5000  2 Y 2.33
Rh 0.0000 0.5000 0.0000  2 Y 2.42
Rh 0.5000 0.0000 0.0000  2 Y 2.42
N 0.5000 0.5000 0.5000  8 Rh 3.36, 4 B 3.42

As for the uncorrected energy: -24.420 eV/cell. The volume comes out at 21.7 Å³/atom. As for the space-group type: P4/mmm. The density of states at the Fermi level is 4.5 states/eV/cell.

=====

Entry 5:
A relaxed Sr2CaAg2 crystal. Source: Alexandria via LeMat-Bulk, functional GGA-PBEsol.

Cell lengths 8.2842, 8.2842, 4.5349 Å; angles 90.00, 90.00, 90.00 degrees
With the nearest neighbours (Å) after each atom.
Fractional coordinates of all 10 atoms:
Sr 0.1686 0.3314 0.0000  6 Ag 3.33-3.34
Sr 0.3314 0.8314 0.0000  6 Ag 3.33-3.34
Sr 0.6686 0.1686 0.0000  6 Ag 3.33-3.34
Sr 0.8314 0.6686 0.0000  6 Ag 3.33-3.34
Ca 0.0000 0.0000 0.5000  4 Ag 3.28
Ca 0.5000 0.5000 0.5000  4 Ag 3.28
Ag 0.1232 0.6232 0.5000  1 Ag 2.89
Ag 0.3768 0.1232 0.5000  1 Ag 2.89
Ag 0.6232 0.8768 0.5000  1 Ag 2.89
Ag 0.8768 0.3768 0.5000  1 Ag 2.89

As for the energy above the most stable polymorph in this dataset: 0 meV per atom. As for the uncorrected energy: -27.314 eV/cell. The volume comes out at 31.1 Å³/atom. As for the space-group type: P4/mbm. The density of states at the Fermi level is 7.0 states/eV/cell. As for the calculated formation energy: -23.6 kJ/mol of atoms.

=====

Entry 6:
A relaxed TaMn2Hg crystal. Source: Alexandria via LeMat-Bulk, functional GGA-PBEsol.

Cell lengths 8.4452, 8.4452, 8.4452 Å; angles 20.48, 20.48, 20.48 degrees
With the nearest neighbours (Å) after each atom.
Fractional coordinates of all 4 atoms:
Ta 0.0000 0.0000 0.0000  6 Mn 2.58
Mn 0.2562 0.2562 0.2562  3 Ta 2.58, 3 Hg 2.82
Mn 0.7438 0.7438 0.7438  3 Ta 2.58, 3 Hg 2.82
Hg 0.5000 0.5000 0.5000  6 Mn 2.82, 6 Hg 3.00

As for the uncorrected energy: -30.976 eV/cell. The volume comes out at 16.1 Å³/atom. As for the space-group type: R-3m. The density of states at the Fermi level is 3.1 states/eV/cell. As for the calculated formation energy: 40.2 kJ/mol of atoms.

=====

Entry 7:
A relaxed CoReBr2 crystal. Source: Alexandria via LeMat-Bulk, functional GGA-PBEsol.

Cell lengths 3.0586, 3.2099, 7.7575 Å; angles 90.00, 101.25, 90.00 degrees
With the nearest neighbours (Å) after each atom.
Fractional coordinates of all 4 atoms:
Co 0.0000 0.0000 0.0000  4 Re 2.50, 4 Br 2.63
Re 0.5757 0.5000 0.1531  4 Co 2.50, 3 Br 2.51-2.58
Br 0.4082 0.5000 0.8139  1 Re 2.58, 4 Co 2.63
Br 0.7012 0.0000 0.4063  2 Re 2.51

As for the energy above the most stable polymorph in this dataset: 0 meV per atom. As for the uncorrected energy: -23.528 eV/cell. The volume comes out at 18.7 Å³/atom. As for the space-group type: Pm. The density of states at the Fermi level is 1.5 states/eV/cell.

=====

Entry 8:
A relaxed LiCdTc2 crystal. Source: Alexandria via LeMat-Bulk, functional GGA-PBEsol.

Cell lengths 5.2353, 5.2353, 5.2353 Å; angles 140.00, 140.00, 57.85 degrees
With the nearest neighbours (Å) after each atom.
Fractional coordinates of all 4 atoms:
Li 0.0000 0.0000 0.0000  4 Cd 2.53
Cd 0.5000 0.5000 0.0000  4 Li 2.53
Tc 0.2500 0.7500 0.5000  4 Tc 2.53
Tc 0.7500 0.2500 0.5000  4 Tc 2.53

As for the uncorrected energy: -24.380 eV/cell. The volume comes out at 14.7 Å³/atom. As for the space-group type: I4/mmm. The density of states at the Fermi level is 2.8 states/eV/cell. As for the calculated formation energy: 31.8 kJ/mol of atoms.

=====

Entry 9:
A relaxed CaTiCoGe2 crystal. Source: Alexandria via LeMat-Bulk, functional GGA-PBEsol.

Cell lengths 4.8065, 4.8065, 4.9561 Å; angles 90.00, 90.00, 90.00 degrees
With the nearest neighbours (Å) after each atom.
Fractional coordinates of all 5 atoms:
Ca 0.0000 0.0000 0.0000  2 Ti 2.48
Ti 0.0000 0.0000 0.5000  4 Ge 2.40, 2 Ca 2.48
Co 0.5000 0.5000 0.0000  4 Ca 3.40, 8 Ge 3.45
Ge 0.0000 0.5000 0.5000  2 Ti 2.40
Ge 0.5000 0.0000 0.5000  2 Ti 2.40

As for the uncorrected energy: -23.247 eV/cell. The volume comes out at 22.9 Å³/atom. As for the space-group type: P4/mmm. The density of states at the Fermi level is 7.7 states/eV/cell. As for the calculated formation energy: 93.1 kJ/mol of atoms.

=====

Entry 10:
A relaxed CeMgHg2 crystal. Source: Alexandria via LeMat-Bulk, functional GGA-PBEsol.

Cell lengths 5.0886, 5.0886, 5.0886 Å; angles 60.00, 60.00, 60.00 degrees
With the nearest neighbours (Å) after each atom.
Fractional coordinates of all 4 atoms:
Ce 0.0000 0.0000 0.0000  8 Hg 3.12
Mg 0.5000 0.5000 0.5000  8 Hg 3.12
Hg 0.2500 0.2500 0.2500  4 Mg 3.12, 4 Ce 3.12
Hg 0.7500 0.7500 0.7500  4 Ce 3.12, 4 Mg 3.12

As for the uncorrected energy: -11.192 eV/cell. The volume comes out at 23.3 Å³/atom. As for the space-group type: Fm-3m. The density of states at the Fermi level is 6.5 states/eV/cell. As for the calculated formation energy: -42.1 kJ/mol of atoms.

=====

Entry 11:
A relaxed K2TlHg2 crystal. Source: Alexandria via LeMat-Bulk, functional GGA-PBEsol.

Cell lengths 7.8889, 7.8889, 5.2845 Å; angles 90.00, 90.00, 90.00 degrees
With the nearest neighbours (Å) after each atom.
Fractional coordinates of all 10 atoms:
K 0.1758 0.3242 0.0000  6 Hg 3.40-3.61
K 0.3242 0.8242 0.0000  6 Hg 3.40-3.61
K 0.6758 0.1758 0.0000  6 Hg 3.40-3.61
K 0.8242 0.6758 0.0000  6 Hg 3.40-3.61
Tl 0.0000 0.0000 0.5000  4 Hg 3.08
Tl 0.5000 0.5000 0.5000  4 Hg 3.08
Hg 0.1320 0.6320 0.5000  1 Hg 2.94, 2 Tl 3.08
Hg 0.3680 0.1320 0.5000  1 Hg 2.94, 2 Tl 3.08
Hg 0.6320 0.8680 0.5000  1 Hg 2.94, 2 Tl 3.08
Hg 0.8680 0.3680 0.5000  1 Hg 2.94, 2 Tl 3.08

As for the uncorrected energy: -13.567 eV/cell. The volume comes out at 32.9 Å³/atom. As for the space-group type: P4/mbm. The density of states at the Fermi level is 6.7 states/eV/cell. As for the calculated formation energy: -14.5 kJ/mol of atoms.

=====

Entry 12:
A relaxed CrTcW2 crystal. Source: Alexandria via LeMat-Bulk, functional GGA-PBEsol.

Cell lengths 3.0534, 3.0534, 6.1180 Å; angles 90.00, 90.00, 90.00 degrees
With the nearest neighbours (Å) after each atom.
Fractional coordinates of all 4 atoms:
Cr 0.0000 0.0000 0.0000  4 W 2.56, 4 Tc 2.67
Tc 0.5000 0.5000 0.2571  4 W 2.63, 4 Cr 2.67
W 0.0000 0.0000 0.5020  4 Tc 2.63, 4 W 2.73
W 0.5000 0.5000 0.7751  4 Cr 2.56, 4 W 2.73

As for the energy above the most stable polymorph in this dataset: 23 meV per atom. As for the uncorrected energy: -48.801 eV/cell. The volume comes out at 14.3 Å³/atom. As for the space-group type: P4mm. The density of states at the Fermi level is 3.0 states/eV/cell. As for the calculated formation energy: 7.8 kJ/mol of atoms.

=====

Which of these has the highest density of states at the Fermi level?
CaTiCoGe2